Material: Li2Mg
Method: DFT, GGA-PBEsol
State: optimized geometry

Properties
SG = P6_3/mmc (194)
Density = 1.07 g cm⁻³
Energy relative to the elements = -0.01 eV per atom
Energy = -0.06948 Ha/atom

Unit cell a=4.8988 b=4.8988 c=5.7179 alpha=90.00 beta=90.00 gamma=120.00
With the nearest neighbours (Å) after each atom.
Sites, in units of the cell vectors:
Li 0.0000 0.0000 0.0000  8 Li 2.86-3.17, 6 Mg 3.17
Li 0.0000 0.0000 0.5000  8 Li 2.86-3.17, 6 Mg 3.17
Li 0.3333 0.6667 0.2500  5 Mg 2.83-2.86
Li 0.6667 0.3333 0.7500  5 Mg 2.83-2.86
Mg 0.3333 0.6667 0.7500  5 Li 2.83-2.86
Mg 0.6667 0.3333 0.2500  5 Li 2.83-2.86